Arrangement w

## CaZn2Ir2 (PBE)

Data for CaZn2Ir2 after structural relaxation.

Values from the calculation:
The symmetry is I4/mmm (139).

Cell lengths 4.2468, 4.2468, 6.0258 Å; angles 69.37, 69.37, 90.00 degrees
Positions (direct):
Ir  0.3846  0.3846  0.2308
Ir  0.6154  0.6154  0.7692
Zn  0.7500  0.2500  0.5000
Ca  0.0000  0.0000  0.0000
Zn  0.2500  0.7500  0.5000

Arrangement x

## CaZn2Ir2 (PBE)

Data for CaZn2Ir2 after structural relaxation.

Values from the calculation:
The symmetry is I4/mmm (139).

Cell lengths 3.9346, 3.9346, 11.9706 Å; angles 99.46, 99.46, 90.00 degrees
Positions (direct):
Zn  0.8232  0.8232  0.6463
Zn  0.1768  0.1768  0.3537
Zn  0.0000  0.5000  0.0000
Ir  0.2500  0.7500  0.5000
Ir  0.7500  0.2500  0.5000
Ca  0.3742  0.3742  0.7483
Ir  0.0690  0.0690  0.1379
Zn  0.5000  0.0000  0.0000
Ca  0.6258  0.6258  0.2517
Ir  0.9310  0.9310  0.8621

Arrangement y

## CaZn2Ir2 (PBE)

Data for CaZn2Ir2 after structural relaxation.

Values from the calculation:
The symmetry is P4/mbm (127).

Cell lengths 7.5278, 7.5278, 2.9035 Å; angles 90.00, 90.00, 90.00 degrees
Positions (direct):
Ca  0.0000  0.0000  0.0000
Zn  0.1271  0.3729  0.0000
Zn  0.3729  0.8729  0.0000
Ir  0.6684  0.8316  0.5000
Ca  0.5000  0.5000  0.0000
Zn  0.8729  0.6271  0.0000
Ir  0.8316  0.3316  0.5000
Ir  0.3316  0.1684  0.5000
Ir  0.1684  0.6684  0.5000
Zn  0.6271  0.1271  0.0000

Tell me which of them is the least stable. Sure, it is arrangement x.

Arrangement w

## Ca3ZnIr (PBE)

Data for Ca3ZnIr after structural relaxation.

Values from the calculation:
The symmetry is Pm-3m (221).

Cell lengths 5.4656, 5.4656, 5.4656 Å; angles 90.00, 90.00, 90.00 degrees
Positions (direct):
Ca  0.0000  0.0000  0.5000
Zn  0.5000  0.5000  0.5000
Ca  0.5000  0.0000  0.0000
Ca  0.0000  0.5000  0.0000
Ir  0.0000  0.0000  0.0000

Arrangement x

## Ca3ZnIr (PBE)

Data for Ca3ZnIr after structural relaxation.

Values from the calculation:
The symmetry is P2_1/c (14).

Cell lengths 6.8841, 7.7367, 10.0285 Å; angles 90.00, 86.37, 90.00 degrees
Positions (direct):
Ca  0.7859  0.5104  0.7691
Ca  0.3386  0.8634  0.4140
Ir  0.5568  0.7324  0.1447
Ca  0.7020  0.9557  0.8904
Ca  0.7020  0.5443  0.3904
Ca  0.3386  0.6366  0.9140
Ca  0.6614  0.3634  0.0860
Ca  0.2980  0.4557  0.6096
Ir  0.4432  0.2324  0.3553
Ca  0.2141  0.4896  0.2309
Zn  0.0885  0.3085  0.9355
Ca  0.6614  0.1366  0.5860
Ir  0.5568  0.7676  0.6447
Zn  0.9115  0.8085  0.5645
Ca  0.2980  0.0443  0.1096
Ca  0.7859  0.9896  0.2691
Ca  0.2141  0.0104  0.7309
Ir  0.4432  0.2676  0.8553
Zn  0.9115  0.6915  0.0645
Zn  0.0885  0.1915  0.4355

Tell me which of them is the least stable. Sure, it is arrangement w.

Arrangement w

## CaZn3Ir (PBE)

Data for CaZn3Ir after structural relaxation.

Values from the calculation:
The symmetry is Pm-3m (221).

Cell lengths 4.8117, 4.8117, 4.8117 Å; angles 90.00, 90.00, 90.00 degrees
Positions (direct):
Zn  0.0000  0.0000  0.5000
Ir  0.0000  0.0000  0.0000
Zn  0.5000  0.0000  0.0000
Ca  0.5000  0.5000  0.5000
Zn  0.0000  0.5000  0.0000

Arrangement x

## CaZn3Ir (PBE)

Data for CaZn3Ir after structural relaxation.

Values from the calculation:
The symmetry is Cmcm (63).

Cell lengths 5.5607, 5.5531, 6.6322 Å; angles 114.75, 90.00, 90.00 degrees
Positions (direct):
Ir  0.0000  0.0000  0.0000
Zn  0.2500  0.9028  0.2868
Zn  0.2500  0.8155  0.6311
Ca  0.2500  0.4034  0.8068
Ca  0.7500  0.5966  0.1932
Ir  0.5000  0.0000  0.0000
Zn  0.7500  0.0972  0.7132
Zn  0.7500  0.6160  0.7132
Zn  0.7500  0.1845  0.3689
Zn  0.2500  0.3840  0.2868

Arrangement y

## CaZn3Ir (PBE)

Data for CaZn3Ir after structural relaxation.

Values from the calculation:
The symmetry is Pm-3m (221).

Cell lengths 5.2361, 5.2361, 5.2361 Å; angles 90.00, 90.00, 90.00 degrees
Site moments in Bohr magnetons follow the coordinates.
Positions (direct):
Ca  0.0000  0.0000  0.0000  -0.04
Ir  0.5000  0.5000  0.5000  1.47
Zn  0.0000  0.5000  0.0000  -0.01
Zn  0.5000  0.0000  0.0000  0.01
Zn  0.0000  0.0000  0.5000  -0.01

Tell me which of them is the least stable. Sure, it is arrangement y.

Arrangement w

## Ca2Zn3Ir (PBE)

Data for Ca2Zn3Ir after structural relaxation.

Values from the calculation:
The symmetry is P6_3/mmc (194).

Cell lengths 5.4276, 5.4276, 8.9801 Å; angles 90.00, 90.00, 120.00 degrees
Positions (direct):
Ca  0.6667  0.3333  0.0533
Zn  0.6759  0.8380  0.2500
Ir  0.0000  0.0000  0.0000
Ir  0.0000  0.0000  0.5000
Zn  0.8380  0.6759  0.7500
Ca  0.3333  0.6667  0.5533
Zn  0.3241  0.1620  0.7500
Ca  0.6667  0.3333  0.4467
Zn  0.8380  0.1620  0.7500
Ca  0.3333  0.6667  0.9467
Zn  0.1620  0.8380  0.2500
Zn  0.1620  0.3241  0.2500

Arrangement x

## Ca2Zn3Ir (PBE)

Data for Ca2Zn3Ir after structural relaxation.

Values from the calculation:
The symmetry is Immm (71).

Cell lengths 4.6380, 5.2316, 6.4731 Å; angles 113.83, 110.99, 90.00 degrees
Positions (direct):
Ca  0.2801  0.7801  0.5602
Zn  0.0000  0.0000  0.0000
Ca  0.7199  0.2199  0.4398
Ir  0.0000  0.5000  0.0000
Zn  0.3915  0.3915  0.7829
Zn  0.6085  0.6085  0.2171

Tell me which of them is the least stable. Sure, it is arrangement x.

Arrangement w

## CaZnIr3 (PBE)

Data for CaZnIr3 after structural relaxation.

Values from the calculation:
The symmetry is Pm-3m (221).

Cell lengths 4.7744, 4.7744, 4.7744 Å; angles 90.00, 90.00, 90.00 degrees
Positions (direct):
Ir  0.0000  0.5000  0.0000
Ca  0.0000  0.0000  0.0000
Ir  0.0000  0.0000  0.5000
Ir  0.5000  0.0000  0.0000
Zn  0.5000  0.5000  0.5000

Arrangement x

## CaZnIr3 (PBE)

Data for CaZnIr3 after structural relaxation.

Values from the calculation:
The symmetry is Pm-3m (221).

Cell lengths 4.6168, 4.6168, 4.6168 Å; angles 90.00, 90.00, 90.00 degrees
Positions (direct):
Ir  0.0000  0.5000  0.0000
Zn  0.0000  0.0000  0.0000
Ir  0.0000  0.0000  0.5000
Ir  0.5000  0.0000  0.0000
Ca  0.5000  0.5000  0.5000

Tell me which of them is the least stable. Sure, it is arrangement w.

Arrangement w

## Ca2ZrIr (PBE)

Data for Ca2ZrIr after structural relaxation.

Values from the calculation:
The symmetry is Imm2 (44).

Cell lengths 6.2354, 6.2354, 6.2354 Å; angles 146.07, 128.13, 63.44 degrees
Positions (direct):
Ir  0.5196  0.5196  0.0000
Ca  0.2971  0.7971  0.5000
Zr  0.6875  0.1875  0.5000
Ca  0.9957  0.9957  0.0000

Arrangement x

## Ca2ZrIr (PBE)

Data for Ca2ZrIr after structural relaxation.

Values from the calculation:
The symmetry is I-4m2 (119).

Cell lengths 5.0097, 5.0097, 5.0097 Å; angles 119.95, 119.95, 90.09 degrees
Positions (direct):
Ca  0.2500  0.7500  0.5000
Ca  0.0000  0.0000  0.0000
Ir  0.5000  0.5000  0.0000
Zr  0.7500  0.2500  0.5000

Tell me which of them is the least stable. Sure, it is arrangement x.

Arrangement w

## Ca2ZrIr (PBE)

Data for Ca2ZrIr after structural relaxation.

Values from the calculation:
The symmetry is P4/mmm (123).

Cell lengths 3.2081, 3.2082, 9.5454 Å; angles 90.00, 90.00, 90.09 degrees
Site moments in Bohr magnetons follow the coordinates.
Positions (direct):
Ca  0.0000  0.0000  0.0561  0.00
Zr  0.5000  0.5000  0.7500  0.19
Ca  0.0000  0.0000  0.4439  0.00
Ir  0.5000  0.5000  0.2500  0.01

Arrangement x

## Ca2ZrIr (PBE)

Data for Ca2ZrIr after structural relaxation.

Values from the calculation:
The symmetry is Pmmm (47).

Cell lengths 3.2299, 4.8527, 5.8512 Å; angles 90.00, 90.00, 90.00 degrees
Positions (direct):
Ir  0.5000  0.5000  0.2500
Ca  0.0000  0.0000  0.0181
Ca  0.0000  0.0000  0.4819
Zr  0.5000  0.5000  0.7500

Tell me which of them is the least stable. Sure, it is arrangement x.

Arrangement w

## Ca2ZrIr (PBE)

Data for Ca2ZrIr after structural relaxation.

Values from the calculation:
The symmetry is Fm-3m (225).

Cell lengths 5.0797, 5.0797, 5.0797 Å; angles 60.00, 60.00, 60.00 degrees
Site moments in Bohr magnetons follow the coordinates.
Positions (direct):
Ir  0.5000  0.5000  0.5000  -0.07
Ca  0.7500  0.7500  0.7500  0.06
Zr  0.0000  0.0000  0.0000  0.73
Ca  0.2500  0.2500  0.2500  0.06

Arrangement x

## Ca2ZrIr (PBE)

Data for Ca2ZrIr after structural relaxation.

Values from the calculation:
The symmetry is P4mm (99).

Cell lengths 3.5135, 3.5135, 8.9724 Å; angles 90.00, 90.00, 90.00 degrees
Positions (direct):
Zr  0.5000  0.5000  0.6725
Ir  0.0000  0.0000  0.5464
Ca  0.0000  0.0000  0.9619
Ca  0.5000  0.5000  0.3192

Arrangement y

## Ca2ZrIr (PBE)

Data for Ca2ZrIr after structural relaxation.

Values from the calculation:
The symmetry is Cm (8).

Cell lengths 4.8688, 4.8688, 7.8715 Å; angles 73.35, 73.35, 44.96 degrees
Positions (direct):
Ca  0.8316  0.8316  0.6740
Zr  0.1893  0.1893  0.3764
Ir  0.4857  0.4857  0.3736
Ca  0.9933  0.9933  0.0760

Arrangement z

## Ca2ZrIr (PBE)

Data for Ca2ZrIr after structural relaxation.

Values from the calculation:
The symmetry is P4/mmm (123).

Cell lengths 4.1454, 4.1510, 5.2398 Å; angles 90.00, 90.00, 90.00 degrees
Positions (direct):
Ca  0.5000  0.5000  0.0000
Ca  0.0000  0.0000  0.0000
Zr  0.0000  0.5000  0.5000
Ir  0.5000  0.0000  0.5000

Tell me which of them is the least stable. Sure, it is arrangement w.

Arrangement w

## Ca2Zr2Ir (PBE)

Data for Ca2Zr2Ir after structural relaxation.

Values from the calculation:
The symmetry is I4/mmm (139).

Cell lengths 3.8786, 3.8786, 8.6344 Å; angles 77.02, 77.02, 90.00 degrees
Positions (direct):
Ir  0.0000  0.0000  0.0000
Zr  0.4224  0.4224  0.1551
Ca  0.2500  0.7500  0.5000
Ca  0.7500  0.2500  0.5000
Zr  0.5776  0.5776  0.8449

Arrangement x

## Ca2Zr2Ir (PBE)

Data for Ca2Zr2Ir after structural relaxation.

Values from the calculation:
The symmetry is P4/mbm (127).

Cell lengths 6.8692, 6.8692, 5.5841 Å; angles 90.00, 90.00, 90.00 degrees
Positions (direct):
Ir  0.0000  0.0000  0.0000
Ir  0.5000  0.5000  0.0000
Zr  0.3493  0.8493  0.0000
Zr  0.1507  0.3493  0.0000
Ca  0.6757  0.8243  0.5000
Ca  0.3243  0.1757  0.5000
Zr  0.8493  0.6507  0.0000
Ca  0.8243  0.3243  0.5000
Zr  0.6507  0.1507  0.0000
Ca  0.1757  0.6757  0.5000

Tell me which of them is the least stable. Sure, it is arrangement w.

Arrangement w

## CaZr2Ir2 (PBE)

Data for CaZr2Ir2 after structural relaxation.

Values from the calculation:
The symmetry is I4/mmm (139).

Cell lengths 4.5217, 4.5217, 6.4237 Å; angles 69.39, 69.39, 90.00 degrees
Positions (direct):
Zr  0.2500  0.7500  0.5000
Ir  0.6159  0.6159  0.7683
Zr  0.7500  0.2500  0.5000
Ca  0.0000  0.0000  0.0000
Ir  0.3841  0.3841  0.2317

Arrangement x

## CaZr2Ir2 (PBE)

Data for CaZr2Ir2 after structural relaxation.

Values from the calculation:
The symmetry is P4/mbm (127).

Cell lengths 8.0454, 8.0454, 3.1821 Å; angles 90.00, 90.00, 90.00 degrees
Positions (direct):
Zr  0.8502  0.3502  0.5000
Ir  0.6412  0.1412  0.0000
Zr  0.6498  0.8502  0.5000
Zr  0.3502  0.1498  0.5000
Ca  0.5000  0.5000  0.0000
Ir  0.8588  0.6412  0.0000
Zr  0.1498  0.6498  0.5000
Ir  0.3588  0.8588  0.0000
Ir  0.1412  0.3588  0.0000
Ca  0.0000  0.0000  0.0000

Arrangement y

## CaZr2Ir2 (PBE)

Data for CaZr2Ir2 after structural relaxation.

Values from the calculation:
The symmetry is P4/mbm (127).

Cell lengths 8.1143, 8.1143, 3.0651 Å; angles 90.00, 90.00, 90.00 degrees
Positions (direct):
Ca  0.5000  0.5000  0.0000
Zr  0.1444  0.3556  0.0000
Zr  0.3556  0.8556  0.0000
Ir  0.3495  0.1505  0.5000
Ir  0.8495  0.3495  0.5000
Ca  0.0000  0.0000  0.0000
Ir  0.1505  0.6505  0.5000
Ir  0.6505  0.8495  0.5000
Zr  0.6444  0.1444  0.0000
Zr  0.8556  0.6444  0.0000

Tell me which of them is the least stable. Sure, it is arrangement y.